The following is a DFT calculation (PBE) of a relaxed structure of TbCe2Tl4.

Geometry as extended XYZ:
```
7
Lattice="6.247 0.028 -2.181 -3.106 5.390 -2.255 0.016 -0.028 6.617" Properties=species:S:1:pos:R:3 pbc="T T T"
Tl 3.124 0.014 -1.090
Tl 1.579 2.695 1.090
Tl -1.553 2.695 -1.127
Tl 0.008 -0.014 3.308
Ce 1.571 2.709 -2.218
Ce 3.132 0.000 2.218
Tb 0.000 0.000 0.000
```

Values from the calculation:
Size of the total moment   2.75 μB/cell
Total DFT energy (no corrections)   -3.846 eV/atom
V   222.99 Å³ per cell
ΔE_f   -0.137 eV per atom